Entry 1:
# TbDy6Cd

A relaxed TbDy6Cd crystal (PBE-GGA, the Alexandria database).

Cell lengths 4.9041, 4.9041, 9.9890 Å; angles 90.00, 90.00, 90.00 degrees
With the nearest neighbours (Å) after each atom.
Sites, in units of the cell vectors:
Tb: 0.0000 0.0000 0.0000  12 Dy 3.47-3.54
Dy: 0.0000 0.5000 0.2549  8 Dy 3.46-3.54, 2 Cd 3.46, 2 Tb 3.54
Dy: 0.0000 0.5000 0.7451  8 Dy 3.46-3.54, 2 Cd 3.46, 2 Tb 3.54
Dy: 0.5000 0.0000 0.2549  8 Dy 3.46-3.54, 2 Cd 3.46, 2 Tb 3.54
Dy: 0.5000 0.0000 0.7451  8 Dy 3.46-3.54, 2 Cd 3.46, 2 Tb 3.54
Dy: 0.5000 0.5000 0.0000  4 Tb 3.47, 8 Dy 3.54
Dy: 0.5000 0.5000 0.5000  8 Dy 3.46, 4 Cd 3.47
Cd: 0.0000 0.0000 0.5000  12 Dy 3.46-3.47

## Properties
- total DFT energy (no corrections) (eV/atom) = -4.17
- magnetization (μB per formula unit) = 0.000
- density of states at the Fermi level (states/eV/f.u.) = 11.40
- offset from the most stable computed form (eV per atom) = 0.0000
- E_form (eV per atom) = -0.030

Entry 2:
# CuReSe2

A relaxed CuReSe2 crystal (PBE-GGA, the Alexandria database).

Cell lengths 3.2623, 3.8259, 5.5840 Å; angles 90.00, 90.00, 90.00 degrees
With the nearest neighbours (Å) after each atom.
Sites, in units of the cell vectors:
Cu: 0.0000 0.0000 0.0000  4 Se 2.51
Re: 0.5000 0.0000 0.5000  4 Se 2.51
Se: 0.0000 0.5000 0.5000  4 Re 2.51
Se: 0.5000 0.5000 0.0000  4 Cu 2.51

## Properties
- total DFT energy (no corrections) (eV/atom) = -5.06
- magnetization (μB per formula unit) = 0.001
- density of states at the Fermi level (states/eV/f.u.) = 4.41
- offset from the most stable computed form (eV per atom) = 0.6417